(1)
Computed, not measured: RbU2S6 after structural relaxation at the GGA-PBE level of DFT.

a = 9.458 Å, b = 9.458 Å, c = 9.458 Å
α = 60.00°, β = 60.00°, γ = 60.00°
Atoms (fractional coordinates):
Rb1 0.750 0.750 0.750
Rb2 0.500 0.500 0.500
U1 0.125 0.125 0.625
U2 0.125 0.625 0.125
U3 0.125 0.125 0.125
U4 0.625 0.125 0.125
S1 0.798 0.202 0.202
S2 0.452 0.048 0.048
S3 0.048 0.048 0.452
S4 0.202 0.798 0.798
S5 0.202 0.202 0.798
S6 0.452 0.048 0.452
S7 0.452 0.452 0.048
S8 0.048 0.452 0.452
S9 0.798 0.202 0.798
S10 0.048 0.452 0.048
S11 0.798 0.798 0.202
S12 0.202 0.798 0.202

Computed properties:
For the density, the calculation gives 4.19 g/cm³. Its total energy is -6.501 eV/atom. Its energy relative to the elements, uncorrected is -1.13 eV/atom.



(2)
Computed, not measured: BeCoI3 after structural relaxation at the GGA-PBE level of DFT.

a = 5.284 Å, b = 5.284 Å, c = 5.284 Å
α = 90.00°, β = 90.00°, γ = 90.00°
Atoms (fractional coordinates):
I1 0.000 0.000 0.500
I2 0.500 0.000 0.000
I3 0.000 0.500 0.000
Be1 0.000 0.000 0.000
Co1 0.500 0.500 0.500

Computed properties:
For the density, the calculation gives 5.05 g/cm³. Its total energy is -2.388 eV/atom. Its energy relative to the elements, uncorrected is 0.71 eV/atom.



(3)
Computed, not measured: SrTiSbI2 after structural relaxation at the GGA-PBE level of DFT.

a = 5.611 Å, b = 5.611 Å, c = 5.511 Å
α = 90.00°, β = 90.00°, γ = 90.00°
Atoms (fractional coordinates):
Ti1 0.000 0.000 0.000
I1 0.000 0.500 0.000
I2 0.500 0.000 0.000
Sr1 0.500 0.500 0.500
Sb1 0.000 0.000 0.500

Computed properties:
For the density, the calculation gives 4.89 g/cm³. Its total energy is -3.925 eV/atom. Its energy relative to the elements, uncorrected is -0.57 eV/atom.



(4)
Computed, not measured: PmHo6Tl after structural relaxation at the GGA-PBE level of DFT.

a = 4.894 Å, b = 4.894 Å, c = 10.044 Å
α = 90.00°, β = 90.00°, γ = 90.00°
Atoms (fractional coordinates):
Tl1 0.000 0.000 0.500
Pm1 0.000 0.000 0.000
Ho1 0.500 0.500 0.500
Ho2 0.500 0.000 0.744
Ho3 0.000 0.500 0.744
Ho4 0.500 0.500 0.000
Ho5 0.500 0.000 0.256
Ho6 0.000 0.500 0.256

Computed properties:
For the density, the calculation gives 9.24 g/cm³. For the energy of formation from the pure elements, the calculation gives -66 meV per atom. Its total energy is -4.389 eV/atom.



(5)
Computed, not measured: Y6AgTe5 after structural relaxation at the GGA-PBE level of DFT.

a = 7.545 Å, b = 7.545 Å, c = 7.535 Å
α = 99.64°, β = 99.64°, γ = 120.00°
Atoms (fractional coordinates):
Y1 0.766 0.766 0.246
Y2 0.077 0.396 0.237
Y3 0.923 0.604 0.763
Y4 0.396 0.077 0.237
Y5 0.234 0.234 0.754
Y6 0.604 0.923 0.763
Ag1 0.000 0.000 0.000
Te1 0.176 0.824 0.500
Te2 0.336 0.664 0.000
Te3 0.824 0.176 0.500
Te4 0.500 0.500 0.500
Te5 0.664 0.336 0.000

Computed properties:
For the density, the calculation gives 6.07 g/cm³. Its total energy is -5.938 eV/atom. Its energy relative to the elements, uncorrected is -1.16 eV/atom.



(6)
Computed, not measured: NpSn2Rh4 after structural relaxation at the GGA-PBE level of DFT.

a = 4.510 Å, b = 4.510 Å, c = 7.983 Å
α = 73.59°, β = 73.59°, γ = 60.00°
Atoms (fractional coordinates):
Rh1 0.380 0.380 0.861
Rh2 0.620 0.620 0.139
Rh3 0.123 0.123 0.630
Rh4 0.877 0.877 0.370
Sn1 0.240 0.240 0.279
Sn2 0.760 0.760 0.721
Np1 0.000 0.000 0.000

Computed properties:
For the density, the calculation gives 11.07 g/cm³. For the energy of formation from the pure elements, the calculation gives -317 meV per atom. Its total energy is -7.511 eV/atom.



(7)
Computed, not measured: RbMg2AgH after structural relaxation at the GGA-PBE level of DFT.

a = 6.550 Å, b = 4.550 Å, c = 6.550 Å
α = 90.00°, β = 90.00°, γ = 90.00°
Atoms (fractional coordinates):
Rb1 0.000 0.000 0.000
H1 0.000 0.500 0.000
Mg1 0.000 0.000 0.500
Mg2 0.500 0.000 0.000
Ag1 0.500 0.500 0.500

Computed properties:
For the density, the calculation gives 2.07 g/cm³. Its total energy is -1.092 eV/atom.



(8)
Computed, not measured: Ta2ReW after structural relaxation at the GGA-PBE level of DFT.

a = 4.546 Å, b = 4.546 Å, c = 4.546 Å
α = 60.00°, β = 60.00°, γ = 60.00°
Atoms (fractional coordinates):
Ta1 0.000 0.000 0.000
Ta2 0.250 0.250 0.250
Re1 0.500 0.500 0.500
W1 0.750 0.750 0.750

Computed properties:
For the density, the calculation gives 18.29 g/cm³. For the energy of formation from the pure elements, the calculation gives -184 meV per atom. Its total energy is -12.461 eV/atom.



(9)
Computed, not measured: KBIrC2 after structural relaxation at the GGA-PBE level of DFT.

a = 3.909 Å, b = 4.185 Å, c = 3.909 Å
α = 90.00°, β = 90.00°, γ = 90.00°
Atoms (fractional coordinates):
Ir1 0.000 0.500 0.000
B1 0.000 0.000 0.000
K1 0.500 0.500 0.500
C1 0.500 0.000 0.000
C2 0.000 0.000 0.500

Computed properties:
For the density, the calculation gives 6.91 g/cm³. For the energy of formation from the pure elements, the calculation gives 2274 meV per atom. Its total energy is -4.743 eV/atom.



(10)
Computed, not measured: Fe2TcTe after structural relaxation at the GGA-PBE level of DFT.

a = 8.079 Å, b = 8.079 Å, c = 8.079 Å
α = 21.72°, β = 21.72°, γ = 21.72°
Atoms (fractional coordinates):
Te1 0.749 0.749 0.749
Fe1 0.252 0.252 0.252
Fe2 0.993 0.993 0.993
Tc1 0.505 0.505 0.505

Computed properties:
For the density, the calculation gives 8.85 g/cm³. Its total energy is -7.091 eV/atom. Its energy relative to the elements, uncorrected is 0.52 eV/atom.



(11)
Computed, not measured: Ba2CaCrN4 after structural relaxation at the GGA-PBE level of DFT.

a = 6.019 Å, b = 6.340 Å, c = 7.744 Å
α = 90.00°, β = 90.00°, γ = 90.00°
Atoms (fractional coordinates):
Ca1 0.500 0.767 0.000
Ca2 0.000 0.233 0.500
N1 0.767 0.023 0.000
N2 0.500 0.661 0.693
N3 0.500 0.661 0.307
N4 0.000 0.339 0.807
N5 0.733 0.977 0.500
N6 0.267 0.977 0.500
N7 0.000 0.339 0.193
N8 0.233 0.023 0.000
Ba1 0.500 0.231 0.245
Ba2 0.000 0.769 0.255
Ba3 0.500 0.231 0.755
Ba4 0.000 0.769 0.745
Cr1 0.000 0.194 0.000
Cr2 0.500 0.806 0.500

Computed properties:
For the density, the calculation gives 4.75 g/cm³. Its total energy is -6.910 eV/atom. Its energy relative to the elements, uncorrected is -0.81 eV/atom.



(12)
Computed, not measured: BeIn after structural relaxation at the GGA-PBE level of DFT.

a = 4.710 Å, b = 4.710 Å, c = 4.710 Å
α = 60.00°, β = 60.00°, γ = 60.00°
Atoms (fractional coordinates):
Be1 0.250 0.250 0.250
Be2 0.000 0.000 0.000
In1 0.500 0.500 0.500
In2 0.750 0.750 0.750

Computed properties:
For the density, the calculation gives 5.56 g/cm³. For the energy of formation from the pure elements, the calculation gives 828 meV per atom. Its total energy is -2.404 eV/atom.